Entry 1:
Material: RbLi2PdRh
Method: DFT, PBE
State: relaxed

Cell lengths 4.6332, 4.6332, 5.0641 Å; angles 90.00, 90.00, 90.00 degrees
With the nearest neighbours (Å) after each atom.
Fractional coordinates of all 5 atoms:
Rb 0.0000 0.0000 0.0000  4 Li 2.32, 2 Pd 2.53
Li 0.0000 0.5000 0.0000  2 Rb 2.32
Li 0.5000 0.0000 0.0000  2 Rb 2.32
Pd 0.0000 0.0000 0.5000  2 Rb 2.53
Rh 0.5000 0.5000 0.5000  4 Pd 3.28, 8 Li 3.43

## Properties
ρ: 4.71 Mg/m³
ΔE_f: 1271 meV/atom
crystal system: tetragonal

---

Entry 2:
Material: MgHg2Te
Method: DFT, PBE
State: relaxed

Cell lengths 3.1845, 3.8831, 8.2807 Å; angles 90.00, 90.00, 90.00 degrees
With the nearest neighbours (Å) after each atom.
Fractional coordinates of all 4 atoms:
Mg 0.0000 0.0000 0.0000  8 Hg 3.10, 2 Mg 3.18
Hg 0.5000 0.5000 0.2187  4 Mg 3.10, 2 Hg 3.18, 4 Te 3.42
Hg 0.5000 0.5000 0.7813  4 Mg 3.10, 2 Hg 3.18, 4 Te 3.42
Te 0.0000 0.0000 0.5000  2 Te 3.18, 8 Hg 3.42

## Properties
energy above the most stable polymorph in this dataset: 0.236 eV per atom
ρ: 8.97 Mg/m³
crystal system: orthorhombic
E_form (uncorrected): -0.04 eV per atom

---

Entry 3:
Material: PtSI2N
Method: DFT, PBE
State: relaxed

Cell lengths 5.6981, 5.6981, 3.7102 Å; angles 90.00, 90.00, 90.00 degrees
With the nearest neighbours (Å) after each atom.
Fractional coordinates of all 5 atoms:
Pt 0.0000 0.0000 0.0000  2 N 1.86
S 0.5000 0.5000 0.5000  8 I 3.40, 2 S 3.71
I 0.0000 0.5000 0.0000  2 Pt 2.85
I 0.5000 0.0000 0.0000  2 Pt 2.85
N 0.0000 0.0000 0.5000  2 Pt 1.86

## Properties
energy above the most stable polymorph in this dataset: 0.000 eV per atom
ρ: 6.82 Mg/m³
crystal system: tetragonal
E_form (uncorrected): 0.86 eV per atom

---

Entry 4:
Material: CsLiLaBr
Method: DFT, PBE
State: relaxed

Cell lengths 3.8718, 6.1333, 6.3169 Å; angles 90.00, 90.00, 90.00 degrees
With the nearest neighbours (Å) after each atom.
Fractional coordinates of all 4 atoms:
Cs 0.0000 0.0000 0.0000  2 Li 3.16
Li 0.0000 0.0000 0.5000  2 Cs 3.16
La 0.5000 0.5000 0.5000  2 Br 3.16
Br 0.5000 0.5000 0.0000  2 La 3.16

## Properties
energy above the most stable polymorph in this dataset: 0.078 eV per atom
ρ: 3.97 Mg/m³
crystal system: orthorhombic
E_form (uncorrected): -0.44 eV per atom

---

Entry 5:
Material: KSc2Se
Method: DFT, PBE
State: relaxed

Cell lengths 3.4401, 3.4401, 9.8903 Å; angles 90.00, 90.00, 90.00 degrees
With the nearest neighbours (Å) after each atom.
Fractional coordinates of all 4 atoms:
K 0.0000 0.0000 0.0000  4 K 3.44
Sc 0.5000 0.5000 0.3455  4 Se 2.87, 1 Sc 3.06
Sc 0.5000 0.5000 0.6545  4 Se 2.87, 1 Sc 3.06
Se 0.0000 0.0000 0.5000  8 Sc 2.87

## Properties
ρ: 2.95 Mg/m³
crystal system: tetragonal
E_form (uncorrected): -0.33 eV per atom

---

Entry 6:
Material: Mg2MnCuTe
Method: DFT, PBE
State: relaxed

Cell lengths 4.9663, 4.9663, 4.6560 Å; angles 90.00, 90.00, 90.00 degrees
With the nearest neighbours (Å) after each atom.
Fractional coordinates of all 5 atoms:
Mg 0.0000 0.5000 0.0000  2 Mn 2.48
Mg 0.5000 0.0000 0.0000  2 Mn 2.48
Mn 0.0000 0.0000 0.0000  2 Te 2.33, 4 Mg 2.48
Cu 0.5000 0.5000 0.5000  8 Mg 3.40, 4 Te 3.51
Te 0.0000 0.0000 0.5000  2 Mn 2.33

## Properties
ρ: 4.26 Mg/m³
crystal system: tetragonal
E_form (uncorrected): 0.60 eV per atom

---

Entry 7:
Material: KCd3As
Method: DFT, PBE
State: relaxed

Cell lengths 6.4473, 6.4473, 6.4473 Å; angles 90.00, 90.00, 90.00 degrees
With the nearest neighbours (Å) after each atom.
Fractional coordinates of all 5 atoms:
K 0.0000 0.0000 0.0000  6 Cd 3.22
Cd 0.0000 0.0000 0.5000  2 K 3.22
Cd 0.0000 0.5000 0.0000  2 K 3.22
Cd 0.5000 0.0000 0.0000  2 K 3.22
As 0.5000 0.5000 0.5000  12 Cd 4.56

## Properties
energy above the most stable polymorph in this dataset: 0.761 eV per atom
ρ: 2.80 Mg/m³
ΔE_f: 883 meV/atom
crystal system: cubic

---

Entry 8:
Material: Sn3RhCl
Method: DFT, PBE
State: relaxed

Cell lengths 5.1674, 5.1674, 5.1674 Å; angles 90.00, 90.00, 90.00 degrees
With the nearest neighbours (Å) after each atom.
Fractional coordinates of all 5 atoms:
Sn 0.0000 0.0000 0.5000  2 Rh 2.58
Sn 0.0000 0.5000 0.0000  2 Rh 2.58
Sn 0.5000 0.0000 0.0000  2 Rh 2.58
Rh 0.0000 0.0000 0.0000  6 Sn 2.58
Cl 0.5000 0.5000 0.5000  12 Sn 3.65

## Properties
energy above the most stable polymorph in this dataset: 0.000 eV per atom
ρ: 5.95 Mg/m³
crystal system: cubic
E_form (uncorrected): -0.21 eV per atom

---

Number 1: DFT total energy -2.197 eV/atom. Number 2: DFT total energy -1.380 eV/atom. Number 3: DFT total energy -3.459 eV/atom. Number 4: DFT total energy -2.781 eV/atom. Number 5: DFT total energy -4.641 eV/atom. Number 6: DFT total energy -3.324 eV/atom. Number 7: DFT total energy -0.815 eV/atom. Number 8: DFT total energy -4.449 eV/atom.